No. 1
The following is a DFT calculation (GGA-PBE) of SrGd2Er after structural relaxation.

Structure (POSCAR):
```
SrGd2Er
1.0
3.689 0.000 0.000
0.000 3.689 0.000
0.000 0.000 10.576
Sr Gd Er
1 2 1
direct
0.000 0.000 0.000
0.500 0.500 0.281
0.500 0.500 0.719
0.000 0.000 0.500
```

Properties
relative energy among the computed polymorphs: 0 meV per atom
total moment: 15.4 μB per formula unit
formation energy from the elements: 0.106 eV/atom
symmetry: P4/mmm, No. 123
total DFT energy (no corrections): -8.496 eV/atom
D(E_F): 1.973 states/eV/atom



No. 2
The following is a DFT calculation (GGA-PBE) of Gd2ErTa after structural relaxation.

Structure (POSCAR):
```
Gd2ErTa
1.0
1.634 0.943 11.680
-1.634 0.943 11.680
0.000 -1.887 11.680
Gd Er Ta
2 1 1
direct
0.083 0.083 0.083
0.917 0.917 0.917
0.500 0.500 0.500
0.000 0.000 0.000
```

Properties
total moment: 14.5 μB per formula unit
formation energy from the elements: 0.602 eV/atom
symmetry: R-3m, No. 166
total DFT energy (no corrections): -10.542 eV/atom
D(E_F): 1.670 states/eV/atom



No. 3
The following is a DFT calculation (GGA-PBE) of TbGdEr2 after structural relaxation.

Structure (POSCAR):
```
TbGdEr2
1.0
1.770 1.022 11.522
-1.770 1.022 11.522
0.000 -2.044 11.522
Tb Gd Er
1 1 2
direct
0.000 0.000 0.000
0.500 0.500 0.500
0.250 0.250 0.250
0.750 0.750 0.750
```

Properties
relative energy among the computed polymorphs: 2 meV per atom
total moment: 7.3 μB per formula unit
formation energy from the elements: 0.023 eV/atom
symmetry: R-3m, No. 166
total DFT energy (no corrections): -6.936 eV/atom
D(E_F): 1.485 states/eV/atom



No. 4
The following is a DFT calculation (GGA-PBE) of TbGdEr2 after structural relaxation.

Structure (POSCAR):
```
TbGdEr2
1.0
0.000 3.989 3.989
3.989 0.000 3.989
3.989 3.989 0.000
Tb Gd Er
1 1 2
direct
0.000 0.000 0.000
0.500 0.500 0.500
0.250 0.250 0.250
0.750 0.750 0.750
```

Properties
relative energy among the computed polymorphs: 96 meV per atom
total moment: 8.3 μB per formula unit
formation energy from the elements: 0.117 eV/atom
symmetry: Fm-3m, No. 225
total DFT energy (no corrections): -6.842 eV/atom
D(E_F): 2.119 states/eV/atom



No. 5
The following is a DFT calculation (GGA-PBE) of TbGd2Er after structural relaxation.

Structure (POSCAR):
```
TbGd2Er
1.0
1.778 1.026 11.601
-1.778 1.026 11.601
0.000 -2.053 11.601
Tb Gd Er
1 2 1
direct
0.000 0.000 0.000
0.249 0.249 0.249
0.751 0.751 0.751
0.500 0.500 0.500
```

Properties
relative energy among the computed polymorphs: 0 meV per atom
total moment: 14.6 μB per formula unit
formation energy from the elements: 0.025 eV/atom
symmetry: R-3m, No. 166
total DFT energy (no corrections): -9.313 eV/atom
D(E_F): 1.661 states/eV/atom



No. 6
The following is a DFT calculation (GGA-PBE) of TbGd2Er after structural relaxation.

Structure (POSCAR):
```
TbGd2Er
1.0
0.000 4.005 4.005
4.005 0.000 4.005
4.005 4.005 0.000
Tb Gd Er
1 2 1
direct
0.000 0.000 0.000
0.250 0.250 0.250
0.750 0.750 0.750
0.500 0.500 0.500
```

Properties
relative energy among the computed polymorphs: 76 meV per atom
total moment: 16.0 μB per formula unit
formation energy from the elements: 0.101 eV/atom
symmetry: Fm-3m, No. 225
total DFT energy (no corrections): -9.237 eV/atom
D(E_F): 1.756 states/eV/atom



No. 7
The following is a DFT calculation (GGA-PBE) of TbGd2Er after structural relaxation.

Structure (POSCAR):
```
TbGd2Er
1.0
5.027 0.000 0.000
0.000 5.027 0.000
0.000 0.000 5.021
Tb Gd Er
1 2 1
direct
0.000 0.000 0.000
0.000 0.500 0.500
0.500 0.000 0.500
0.500 0.500 0.000
```

Properties
relative energy among the computed polymorphs: 1 meV per atom
total moment: 14.5 μB per formula unit
formation energy from the elements: 0.026 eV/atom
symmetry: P4/mmm, No. 123
total DFT energy (no corrections): -9.313 eV/atom
D(E_F): 1.857 states/eV/atom



No. 8
The following is a DFT calculation (GGA-PBE) of TbGd2Er after structural relaxation.

Structure (POSCAR):
```
TbGd2Er
1.0
3.556 0.000 0.000
0.000 3.556 0.000
0.000 0.000 10.046
Tb Gd Er
1 2 1
direct
0.000 0.000 0.000
0.500 0.500 0.252
0.500 0.500 0.748
0.000 0.000 0.500
```

Properties
relative energy among the computed polymorphs: 1 meV per atom
total moment: 14.4 μB per formula unit
formation energy from the elements: 0.026 eV/atom
symmetry: P4/mmm, No. 123
total DFT energy (no corrections): -9.312 eV/atom
D(E_F): 1.777 states/eV/atom



No. 9
The following is a DFT calculation (GGA-PBE) of TbGdEr2 after structural relaxation.

Structure (POSCAR):
```
TbGdEr2
1.0
5.009 0.000 0.000
0.000 5.009 0.000
0.000 0.000 4.984
Tb Gd Er
1 1 2
direct
0.000 0.000 0.000
0.500 0.500 0.000
0.000 0.500 0.500
0.500 0.000 0.500
```

Properties
relative energy among the computed polymorphs: 0 meV per atom
total moment: 7.1 μB per formula unit
formation energy from the elements: 0.021 eV/atom
symmetry: P4/mmm, No. 123
total DFT energy (no corrections): -6.938 eV/atom
D(E_F): 1.668 states/eV/atom



No. 10
The following is a DFT calculation (GGA-PBE) of TbGdEr2 after structural relaxation.

Structure (POSCAR):
```
TbGdEr2
1.0
3.537 0.000 0.000
0.000 3.537 0.000
0.000 0.000 10.000
Tb Gd Er
1 1 2
direct
0.000 0.000 0.000
0.000 0.000 0.500
0.500 0.500 0.248
0.500 0.500 0.752
```

Properties
relative energy among the computed polymorphs: 3 meV per atom
total moment: 7.2 μB per formula unit
formation energy from the elements: 0.024 eV/atom
symmetry: P4/mmm, No. 123
total DFT energy (no corrections): -6.935 eV/atom
D(E_F): 1.511 states/eV/atom



No. 11
The following is a DFT calculation (GGA-PBE) of TbGd4Er after structural relaxation.

Structure (POSCAR):
```
TbGd4Er
1.0
0.000 4.641 4.641
4.641 0.000 4.641
4.641 4.641 0.000
Tb Gd Er
1 4 1
direct
0.000 0.000 0.000
0.125 0.625 0.625
0.625 0.125 0.625
0.625 0.625 0.125
0.625 0.625 0.625
0.250 0.250 0.250
```

Properties
total moment: 28.6 μB per formula unit
formation energy from the elements: 0.256 eV/atom
symmetry: F-43m, No. 216
total DFT energy (no corrections): -10.664 eV/atom
D(E_F): 1.956 states/eV/atom



No. 12
The following is a DFT calculation (GGA-PBE) of TbGdErTh after structural relaxation.

Structure (POSCAR):
```
TbGdErTh
1.0
0.000 4.008 4.008
4.008 0.000 4.008
4.008 4.008 0.000
Tb Gd Er Th
1 1 1 1
direct
0.000 0.000 0.000
0.500 0.500 0.500
0.750 0.750 0.750
0.250 0.250 0.250
```

Properties
total moment: 8.8 μB per formula unit
formation energy from the elements: 0.168 eV/atom
symmetry: F-43m, No. 216
total DFT energy (no corrections): -7.506 eV/atom
D(E_F): 2.154 states/eV/atom



No. 13
The following is a DFT calculation (GGA-PBE) of TbGdErTl after structural relaxation.

Structure (POSCAR):
```
TbGdErTl
1.0
0.000 3.870 3.870
3.870 0.000 3.870
3.870 3.870 0.000
Tb Gd Er Tl
1 1 1 1
direct
0.000 0.000 0.000
0.500 0.500 0.500
0.750 0.750 0.750
0.250 0.250 0.250
```

Properties
total moment: 8.6 μB per formula unit
formation energy from the elements: -0.063 eV/atom
symmetry: F-43m, No. 216
total DFT energy (no corrections): -6.473 eV/atom
D(E_F): 1.224 states/eV/atom



No. 14
The following is a DFT calculation (GGA-PBE) of TbGdYEr after structural relaxation.

Structure (POSCAR):
```
TbGdYEr
1.0
0.000 4.010 4.010
4.010 0.000 4.010
4.010 4.010 0.000
Tb Gd Y Er
1 1 1 1
direct
0.000 0.000 0.000
0.500 0.500 0.500
0.250 0.250 0.250
0.750 0.750 0.750
```

Properties
total moment: 8.5 μB per formula unit
formation energy from the elements: 0.117 eV/atom
symmetry: F-43m, No. 216
total DFT energy (no corrections): -7.318 eV/atom
D(E_F): 2.142 states/eV/atom



No. 15
The following is a DFT calculation (GGA-PBE) of TbGdErZn after structural relaxation.

Structure (POSCAR):
```
TbGdErZn
1.0
0.000 3.771 3.771
3.771 0.000 3.771
3.771 3.771 0.000
Tb Gd Er Zn
1 1 1 1
direct
0.000 0.000 0.000
0.500 0.500 0.500
0.750 0.750 0.750
0.250 0.250 0.250
```

Properties
total moment: 7.6 μB per formula unit
formation energy from the elements: 0.026 eV/atom
symmetry: F-43m, No. 216
total DFT energy (no corrections): -6.111 eV/atom
D(E_F): 1.089 states/eV/atom



No. 16
The following is a DFT calculation (GGA-PBE) of Gd2ErTc after structural relaxation.

Structure (POSCAR):
```
Gd2ErTc
1.0
3.463 0.000 0.000
0.000 3.463 0.000
0.000 0.000 8.850
Gd Er Tc
2 1 1
direct
0.000 0.000 0.189
0.000 0.000 0.811
0.500 0.500 0.500
0.500 0.500 0.000
```

Properties
relative energy among the computed polymorphs: 0 meV per atom
total moment: 13.8 μB per formula unit
formation energy from the elements: 0.059 eV/atom
symmetry: P4/mmm, No. 123
total DFT energy (no corrections): -10.714 eV/atom
D(E_F): 1.266 states/eV/atom